DFT (GGA-PBE) results for an optimized crystal structure of ErInHg3.

Properties
Formation energy from the elements (eV/atom): -0.148
Volume (Å³ per cell): 548

Cell lengths 15.5208, 6.3581, 5.5856 Å; angles 90.00, 95.82, 90.00 degrees
Space group C2/m (No. 12)
Unique sites:
Er (0.1887, 0.0000, 0.3185) (multiplicity 4)
In (0.1380, 0.5000, 0.2654) (multiplicity 4)
Hg (0.0000, 0.0000, 0.0000) (multiplicity 2)
Hg (0.0000, 0.0000, 0.5000) (multiplicity 2)
Hg (0.1542, 0.2469, 0.8003) (multiplicity 8)